# 1
Computed, not measured: a relaxed TbSi2Ni2Os crystal at the PBE level of DFT. Values from VASP.

Geometry as Quantum ESPRESSO input:
```
&SYSTEM
  ibrav = 0, nat = 6, ntyp = 4
/
ATOMIC_SPECIES
Os 190.23 Os.upf
Ni 58.69 Ni.upf
Si 28.09 Si.upf
Tb 158.93 Tb.upf
ATOMIC_POSITIONS angstrom
Os 0.000 0.000 0.000
Ni 1.053 -0.940 3.148
Si 1.991 -0.773 0.714
Tb 0.204 2.082 1.685
Si -1.039 -1.194 1.602
Ni 1.259 1.169 4.855
CELL_PARAMETERS angstrom
-2.078 -2.389 3.203
3.981 -1.547 1.429
0.409 4.165 3.371
```

DOS at the Fermi energy = 2.9 states/eV per cell
total moment = 0.000 μB/f.u.
SG = P4/mmm, No. 123
E = -38.062 eV for the cell shown
formation energy without anion corrections = 0.034 eV/atom

# 2
Computed, not measured: a relaxed TbSi3NiOs crystal at the PBE level of DFT. Values from VASP.

Geometry as Quantum ESPRESSO input:
```
&SYSTEM
  ibrav = 0, nat = 12, ntyp = 4
/
ATOMIC_SPECIES
Si 28.09 Si.upf
Os 190.23 Os.upf
Tb 158.93 Tb.upf
Ni 58.69 Ni.upf
ATOMIC_POSITIONS angstrom
Si -2.965 0.048 1.536
Si -0.939 -1.539 0.548
Os -0.741 0.815 1.019
Tb -1.243 -1.628 3.914
Si -4.164 -1.917 2.235
Ni -3.919 -0.090 3.648
Tb -1.413 2.505 4.617
Os -1.915 0.063 7.513
Si -2.942 -0.016 5.533
Ni 1.264 0.968 4.884
Si -2.138 -3.504 1.247
Si 0.286 0.893 2.998
CELL_PARAMETERS angstrom
-4.052 3.175 1.976
-3.077 -5.043 1.795
4.473 2.746 4.760
```

DOS at the Fermi energy = 4.9 states/eV per cell
total moment = 0.000 μB/f.u.
SG = Cmcm, No. 63
E = -79.853 eV for the cell shown
formation energy without anion corrections = -0.336 eV/atom

# 3
Computed, not measured: a relaxed Tb2Si4Ni3Os crystal at the PBE level of DFT. Values from VASP.

Geometry as Quantum ESPRESSO input:
```
&SYSTEM
  ibrav = 0, nat = 10, ntyp = 4
/
ATOMIC_SPECIES
Si 28.09 Si.upf
Os 190.23 Os.upf
Ni 58.69 Ni.upf
Tb 158.93 Tb.upf
ATOMIC_POSITIONS angstrom
Si 0.000 0.000 0.000
Si 1.993 1.993 0.000
Os 1.993 1.993 4.845
Ni 0.000 0.000 4.845
Tb 0.000 1.993 7.358
Si 1.993 0.000 6.160
Si 0.000 1.993 3.530
Tb 1.993 0.000 2.331
Ni 0.000 1.993 1.200
Ni 1.993 0.000 8.490
CELL_PARAMETERS angstrom
3.987 0.000 0.000
0.000 3.987 0.000
0.000 0.000 9.690
```

DOS at the Fermi energy = 3.4 states/eV per cell
total moment = 0.000 μB/f.u.
SG = P-4m2, No. 115
E = -67.815 eV for the cell shown
formation energy without anion corrections = -0.829 eV/atom

# 4
Computed, not measured: a relaxed SiTcNiOs2 crystal at the PBE level of DFT. Values from VASP.

Geometry as Quantum ESPRESSO input:
```
&SYSTEM
  ibrav = 0, nat = 5, ntyp = 4
/
ATOMIC_SPECIES
Tc 98.00 Tc.upf
Os 190.23 Os.upf
Si 28.09 Si.upf
Ni 58.69 Ni.upf
ATOMIC_POSITIONS angstrom
Tc 0.000 0.000 0.000
Os 0.354 2.240 0.547
Si 2.218 -0.353 0.010
Os -0.096 -0.539 2.268
Ni 2.477 1.348 2.825
CELL_PARAMETERS angstrom
-0.191 -1.078 4.535
4.437 -0.706 0.019
0.708 4.480 1.095
```

DOS at the Fermi energy = 6.0 states/eV per cell
total moment = 1.418 μB/f.u.
SG = P4/mmm, No. 123
E = -34.523 eV for the cell shown
formation energy without anion corrections = 1.901 eV/atom

# 5
Computed, not measured: a relaxed SiTcNiOs crystal at the PBE level of DFT. Values from VASP.

Geometry as Quantum ESPRESSO input:
```
&SYSTEM
  ibrav = 0, nat = 4, ntyp = 4
/
ATOMIC_SPECIES
Si 28.09 Si.upf
Os 190.23 Os.upf
Ni 58.69 Ni.upf
Tc 98.00 Tc.upf
ATOMIC_POSITIONS angstrom
Si 6.251 3.609 2.552
Os 4.168 2.406 1.701
Ni 2.084 1.203 0.851
Tc 0.000 0.000 0.000
CELL_PARAMETERS angstrom
4.168 0.000 0.000
2.084 3.609 0.000
2.084 1.203 3.403
```

DOS at the Fermi energy = 2.8 states/eV per cell
total moment = 0.000 μB/f.u.
SG = F-43m, No. 216
E = -33.497 eV for the cell shown
formation energy without anion corrections = -0.174 eV/atom

# 6
Computed, not measured: a relaxed ThSi2NiOs2 crystal at the PBE level of DFT. Values from VASP.

Geometry as Quantum ESPRESSO input:
```
&SYSTEM
  ibrav = 0, nat = 6, ntyp = 4
/
ATOMIC_SPECIES
Th 232.04 Th.upf
Si 28.09 Si.upf
Os 190.23 Os.upf
Ni 58.69 Ni.upf
ATOMIC_POSITIONS angstrom
Th -2.283 0.408 1.300
Si -0.963 -1.567 -1.199
Si 0.582 -1.501 1.493
Os -3.732 -2.468 2.202
Ni 0.000 0.000 0.000
Os -1.596 -2.850 0.986
CELL_PARAMETERS angstrom
-1.926 -3.134 -2.399
1.163 -3.002 2.987
-4.565 0.817 2.599
```

DOS at the Fermi energy = 3.5 states/eV per cell
total moment = 0.000 μB/f.u.
SG = P4/mmm, No. 123
E = -47.384 eV for the cell shown
formation energy without anion corrections = -0.146 eV/atom

# 7
Computed, not measured: a relaxed Tm2Si4Ni3Os crystal at the PBE level of DFT. Values from VASP.

Geometry as Quantum ESPRESSO input:
```
&SYSTEM
  ibrav = 0, nat = 10, ntyp = 4
/
ATOMIC_SPECIES
Os 190.23 Os.upf
Si 28.09 Si.upf
Tm 168.93 Tm.upf
Ni 58.69 Ni.upf
ATOMIC_POSITIONS angstrom
Os 1.974 1.974 4.828
Si 0.000 0.000 0.000
Tm 1.974 0.000 2.330
Si 1.974 0.000 6.154
Ni 0.000 0.000 4.828
Ni 0.000 1.974 1.212
Si 0.000 1.974 3.502
Tm 0.000 1.974 7.326
Ni 1.974 0.000 8.444
Si 1.974 1.974 0.000
CELL_PARAMETERS angstrom
3.948 0.000 0.000
0.000 3.948 0.000
0.000 0.000 9.656
```

DOS at the Fermi energy = 3.3 states/eV per cell
total moment = 0.000 μB/f.u.
SG = P-4m2, No. 115
E = -67.444 eV for the cell shown
formation energy without anion corrections = -0.823 eV/atom

# 8
Computed, not measured: a relaxed USi2NiOs crystal at the PBE level of DFT. Values from VASP.

Geometry as Quantum ESPRESSO input:
```
&SYSTEM
  ibrav = 0, nat = 5, ntyp = 4
/
ATOMIC_SPECIES
Si 28.09 Si.upf
Os 190.23 Os.upf
Ni 58.69 Ni.upf
U 238.03 U.upf
ATOMIC_POSITIONS angstrom
Si 0.046 -3.457 1.655
Os -1.916 -2.438 0.783
Si -2.279 -0.411 1.970
Ni -0.317 -1.430 2.843
U 0.000 0.000 0.000
CELL_PARAMETERS angstrom
-0.694 1.674 3.514
-3.892 -0.342 -0.606
2.353 -5.199 0.717
```

DOS at the Fermi energy = 7.8 states/eV per cell
total moment = 2.150 μB/f.u.
SG = I-4m2, No. 119
E = -41.729 eV for the cell shown
formation energy without anion corrections = -0.517 eV/atom

# 9
Computed, not measured: a relaxed USi4Ni2Os crystal at the PBE level of DFT. Values from VASP.

Geometry as Quantum ESPRESSO input:
```
&SYSTEM
  ibrav = 0, nat = 8, ntyp = 4
/
ATOMIC_SPECIES
Os 190.23 Os.upf
Ni 58.69 Ni.upf
Si 28.09 Si.upf
U 238.03 U.upf
ATOMIC_POSITIONS angstrom
Os -3.968 4.353 2.140
Ni -5.995 6.218 2.963
Si -6.299 3.979 1.197
U 0.000 0.000 0.000
Si -3.698 6.341 3.708
Ni -1.942 2.489 1.316
Si -1.638 4.728 3.083
Si -4.238 2.365 0.571
CELL_PARAMETERS angstrom
-2.880 1.907 -1.921
-3.756 -0.406 1.162
-1.301 7.206 5.038
```

DOS at the Fermi energy = 9.3 states/eV per cell
total moment = 3.083 μB/f.u.
SG = R-3m, No. 166
E = -58.114 eV for the cell shown
formation energy without anion corrections = -0.293 eV/atom

# 10
Computed, not measured: a relaxed U2Si4Ni3Os crystal at the PBE level of DFT. Values from VASP.

Geometry as Quantum ESPRESSO input:
```
&SYSTEM
  ibrav = 0, nat = 10, ntyp = 4
/
ATOMIC_SPECIES
Ni 58.69 Ni.upf
Si 28.09 Si.upf
Os 190.23 Os.upf
U 238.03 U.upf
ATOMIC_POSITIONS angstrom
Ni 1.281 -0.560 1.830
Ni 4.748 0.245 -0.255
Si 6.013 2.208 0.298
Os 4.818 1.520 2.261
Si 0.000 0.000 0.000
Si 3.553 -0.443 1.708
U 2.276 2.015 0.499
Ni 8.285 2.325 0.175
U 7.290 -0.249 1.507
Si 0.070 1.274 2.516
CELL_PARAMETERS angstrom
-0.129 3.788 1.249
0.268 -1.239 3.784
9.497 0.491 -0.511
```

DOS at the Fermi energy = 18.3 states/eV per cell
total moment = 2.996 μB/f.u.
SG = P-4m2, No. 115
E = -78.566 eV for the cell shown
formation energy without anion corrections = -0.572 eV/atom